A relaxed structure of PrIrPd. Source: the Open Quantum Materials Database, functional GGA-PBE.

## Properties
Offset from the most stable computed form   0.0000 eV per atom
SG   No. 216
Total DFT energy (no corrections)   -6.4137 eV per atom

Structure (POSCAR):
```
PrIrPd
1.0
2.317 1.338 3.784
-2.317 1.338 3.784
0.000 -2.676 3.784
Ir Pd Pr
1 1 1
Direct
0.000 0.000 0.000
0.750 0.750 0.750
0.250 0.250 0.250
```

A relaxed structure of PrSi2IrPd. Source: the Open Quantum Materials Database, functional GGA-PBE.

## Properties
SG   No. 119
Total DFT energy (no corrections)   -6.8599 eV per atom

Structure (POSCAR):
```
PrSi2IrPd
1.0
-3.212 4.348 2.327
-4.370 2.421 -3.111
1.911 -5.362 1.494
Ir Pd Pr Si
1 1 1 2
Direct
0.000 0.000 0.000
0.500 0.500 0.000
0.750 0.250 0.500
0.130 0.630 0.500
0.370 0.870 0.500
```

A relaxed structure of Pr3Si4Ir2Pd2. Source: the Open Quantum Materials Database, functional GGA-PBE.

## Properties
SG   No. 71
Total DFT energy (no corrections)   -6.8211 eV per atom

Structure (POSCAR):
```
Pr3Si4Ir2Pd2
1.0
-2.066 2.100 12.482
2.066 -2.100 12.482
2.066 2.100 -12.482
Ir Pd Pr Si
2 2 3 4
Direct
0.250 0.250 0.000
0.750 0.750 0.000
0.901 0.401 0.500
0.099 0.599 0.500
0.000 0.000 0.000
0.647 0.147 0.500
0.353 0.853 0.500
0.452 0.452 0.000
0.548 0.548 0.000
0.801 0.301 0.500
0.199 0.699 0.500
```

> Look up the total DFT energy (no corrections) of the first one.

-6.4137 eV per atom

> total DFT energy (no corrections) of number 3 (Pr3Si4Ir2Pd2)?

-6.8211 eV per atom

> The highest total DFT energy (no corrections) belongs to which entry?

PrIrPd